# 1
## Ho3BP2Rh9 (PBE-GGA)

Data for a geometry-optimized Ho3BP2Rh9 structure.

Computed properties:
Energy in eV per cell: -109.215
Calculated density in g cm⁻³: 10.02
Space group: P-3m1 (164)
Total magnetization in μB per atom: 0.00
DFT formation energy in eV per formula unit: -11.8

Unit cell a=6.2381 b=6.2381 c=7.3435 alpha=90.00 beta=90.00 gamma=120.00
Atoms (fractional coordinates):
Rh 0.0000 0.5000 0.0000
Rh 0.1554 0.3107 0.3341
Rh 0.5000 0.5000 0.0000
Rh 0.8446 0.6893 0.6659
Rh 0.3107 0.1554 0.6659
Rh 0.5000 0.0000 0.0000
Rh 0.1554 0.8446 0.3341
Rh 0.8446 0.1554 0.6659
Rh 0.6893 0.8446 0.3341
P 0.6667 0.3333 0.8145
P 0.3333 0.6667 0.1855
Ho 0.0000 0.0000 0.0000
Ho 0.6667 0.3333 0.3385
Ho 0.3333 0.6667 0.6615
B 0.0000 0.0000 0.5000

***

# 2
## Zn4BiPd15 (PBE-GGA)

Data for a geometry-optimized Zn4BiPd15 structure.

Computed properties:
Energy in eV per cell: -92.682
Calculated density in g cm⁻³: 11.05
Space group: P4/mmm (123)
Total magnetization in μB per atom: 0.00
DFT formation energy in eV per formula unit: -5.8

Unit cell a=3.9997 b=3.9997 c=19.4181 alpha=90.00 beta=90.00 gamma=90.00
Atoms (fractional coordinates):
Pd 0.5000 0.0000 0.5000
Pd 0.0000 0.5000 0.6936
Pd 0.0000 0.5000 0.1105
Pd 0.5000 0.0000 0.3064
Pd 0.5000 0.5000 0.7917
Pd 0.5000 0.0000 0.6936
Pd 0.5000 0.5000 0.2083
Pd 0.0000 0.5000 0.8895
Pd 0.5000 0.0000 0.1105
Pd 0.5000 0.5000 0.4033
Pd 0.0000 0.5000 0.5000
Pd 0.0000 0.5000 0.3064
Pd 0.5000 0.5000 0.0000
Pd 0.5000 0.0000 0.8895
Pd 0.5000 0.5000 0.5967
Bi 0.0000 0.0000 0.0000
Zn 0.0000 0.0000 0.4028
Zn 0.0000 0.0000 0.5972
Zn 0.0000 0.0000 0.2098
Zn 0.0000 0.0000 0.7902

***

# 3
## TcTe2PtI (PBE-GGA)

Data for a geometry-optimized TcTe2PtI structure.

Computed properties:
Energy in eV per cell: -19.265
Calculated density in g cm⁻³: 7.25
E_form (uncorrected) in eV/atom: 1.00
Space group: P4/mmm (123)
Total magnetization in μB per atom: 0.95
Energy above the most stable polymorph in this dataset in meV/atom: 38

Unit cell a=5.3260 b=5.3260 c=5.4543 alpha=90.00 beta=90.00 gamma=90.00
Site moments in Bohr magnetons follow the coordinates.
Atoms (fractional coordinates):
Pt 0.0000 0.0000 0.0000  0.01
Te 0.5000 0.0000 0.0000  0.01
Te 0.0000 0.5000 0.0000  0.01
Tc 0.5000 0.5000 0.5000  3.88
I 0.0000 0.0000 0.5000  0.08

***

# 4
## KAlS2 (PBE-GGA)

Data for a geometry-optimized KAlS2 structure.

Computed properties:
Energy in eV per cell: -36.360
Calculated density in g cm⁻³: 2.17
E_form (uncorrected) in eV/atom: -1.27
Space group: C2/m (12)
Total magnetization in μB per atom: 0.00

Unit cell a=3.7466 b=8.4457 c=7.1385 alpha=114.58 beta=90.00 gamma=77.19
Atoms (fractional coordinates):
K 0.2713 0.0320 0.3507
K 0.5388 0.4971 0.0898
S 0.5921 0.3902 0.5312
S 0.2179 0.1388 0.9092
S 0.9039 0.7670 0.4778
S 0.9062 0.7621 0.9627
Al 0.8075 0.9596 0.8182
Al 0.0025 0.5695 0.6223

***

# 5
## Sm2YHoS6 (PBE-GGA)

Data for a geometry-optimized Sm2YHoS6 structure.

Computed properties:
Energy in eV per cell: -65.713
Calculated density in g cm⁻³: 4.72
E_form (uncorrected) in eV/atom: -2.05
Space group: R3 (146)
Total magnetization in μB per atom: 0.00

Unit cell a=6.9997 b=6.9997 c=7.4010 alpha=61.77 beta=61.77 gamma=59.99
Atoms (fractional coordinates):
S 0.7063 0.1107 0.7559
S 0.9294 0.6084 0.2551
S 0.4271 0.7062 0.7559
S 0.2072 0.9293 0.2550
S 0.1107 0.4272 0.7559
S 0.6084 0.2073 0.2551
Sm 0.5201 0.5201 0.4398
Sm 0.0197 0.0198 0.9408
Ho 0.3166 0.3165 0.0502
Y 0.8161 0.8162 0.5516

***

# 6
## AgSe2Cl (PBE-GGA)

Data for a geometry-optimized AgSe2Cl structure.

Computed properties:
Energy in eV per cell: -11.013
Calculated density in g cm⁻³: 5.03
E_form (uncorrected) in eV/atom: 0.16
Space group: Cmmm (65)
Total magnetization in μB per atom: 0.00
Energy above the most stable polymorph in this dataset in meV/atom: 353

Unit cell a=4.0345 b=4.0345 c=6.4326 alpha=90.00 beta=90.00 gamma=108.06
Atoms (fractional coordinates):
Se 0.0000 0.0000 0.4369
Se 0.0000 0.0000 0.0631
Ag 0.5000 0.5000 0.2500
Cl 0.5000 0.5000 0.7500

***

# 7
## RbTa3Au (PBE-GGA)

Data for a geometry-optimized RbTa3Au structure.

Computed properties:
Energy in eV per cell: -24.273
Calculated density in g cm⁻³: 12.76
Space group: Pm-3m (221)
Total magnetization in μB per atom: 0.00
Energy above the most stable polymorph in this dataset in meV/atom: 1095
DFT formation energy in eV per formula unit: 15.5

Unit cell a=4.7530 b=4.7530 c=4.7530 alpha=90.00 beta=90.00 gamma=90.00
Atoms (fractional coordinates):
Au 0.5000 0.5000 0.5000
Ta 0.0000 0.0000 0.5000
Ta 0.5000 0.0000 0.0000
Ta 0.0000 0.5000 0.0000
Rb 0.0000 0.0000 0.0000

***

# 8
## Cs2BiPdO4 (PBE-GGA)

Data for a geometry-optimized Cs2BiPdO4 structure.

Computed properties:
Energy in eV per cell: -75.659
Calculated density in g cm⁻³: 4.42
E_form (uncorrected) in eV/atom: -0.90
Space group: Fddd (70)
Total magnetization in μB per atom: 0.11

Unit cell a=6.3732 b=8.1492 c=10.6254 alpha=83.27 beta=72.55 gamma=66.98
Site moments in Bohr magnetons follow the coordinates.
Atoms (fractional coordinates):
O 0.1410 0.1856 0.9948  0.14
O 0.6090 0.3144 0.5052  0.14
O 0.8858 0.6856 0.5052  0.14
O 0.8642 0.8144 0.9948  0.14
O 0.0766 0.3144 0.4948  0.14
O 0.3215 0.8144 0.0052  0.14
O 0.6734 0.1856 0.0052  0.14
O 0.4285 0.6856 0.4948  0.14
Cs 0.5781 0.5000 0.8438  0.00
Cs 0.1719 0.0000 0.6562  0.00
Cs 0.9219 0.5000 0.1562  0.00
Cs 0.8281 0.0000 0.3438  0.00
Pd 0.0000 0.0000 0.0000  0.15
Pd 0.7500 0.5000 0.5000  0.15
Bi 0.2500 0.5000 0.5000  0.06
Bi 0.5000 0.0000 0.0000  0.06

***

# 9
## TeMoPb2 (PBE-GGA)

Data for a geometry-optimized TeMoPb2 structure.

Computed properties:
Energy in eV per cell: -19.491
Calculated density in g cm⁻³: 9.72
E_form (uncorrected) in eV/atom: 0.47
Space group: Cmmm (65)
Total magnetization in μB per atom: 0.00

Unit cell a=3.0816 b=3.0816 c=11.7168 alpha=90.00 beta=90.00 gamma=101.66
Atoms (fractional coordinates):
Pb 0.0000 0.0000 0.9465
Pb 0.0000 0.0000 0.5535
Mo 0.5000 0.5000 0.7500
Te 0.5000 0.5000 0.2500

***

# 10
## AcInH8Rh2 (PBE-GGA)

Data for a geometry-optimized AcInH8Rh2 structure.

Computed properties:
Energy in eV per cell: -50.260
Calculated density in g cm⁻³: 7.85
Space group: R-3m (166)
Total magnetization in μB per atom: 0.00

Unit cell a=4.8180 b=4.8180 c=6.4760 alpha=68.16 beta=68.16 gamma=60.00
Atoms (fractional coordinates):
In 0.0000 0.0000 0.0000
H 0.9410 0.9410 0.7161
H 0.8160 0.8160 0.5520
H 0.5981 0.0590 0.2839
H 0.1840 0.1840 0.4480
H 0.0590 0.5981 0.2839
H 0.0590 0.0590 0.2839
H 0.4019 0.9410 0.7161
H 0.9410 0.4019 0.7161
Rh 0.2787 0.2787 0.1639
Rh 0.7213 0.7213 0.8361
Ac 0.5000 0.5000 0.5000

***

# 11
## Mn2VRhN (PBE-GGA)

Data for a geometry-optimized Mn2VRhN structure.

Computed properties:
Energy in eV per cell: -45.046
Calculated density in g cm⁻³: 7.84
E_form (uncorrected) in eV/atom: -0.38
Space group: P4/mmm (123)
Total magnetization in μB per atom: 0.89

Unit cell a=3.8733 b=3.8733 c=3.9221 alpha=90.00 beta=90.00 gamma=90.00
Site moments in Bohr magnetons follow the coordinates.
Atoms (fractional coordinates):
N 0.0000 0.0000 0.0000  0.01
Mn 0.5000 0.0000 0.0000  2.57
Mn 0.0000 0.5000 0.0000  2.57
V 0.0000 0.0000 0.5000  -0.92
Rh 0.5000 0.5000 0.5000  0.23

***

# 12
## BaCd3Si (PBE-GGA)

Data for a geometry-optimized BaCd3Si structure.

Computed properties:
Energy in eV per cell: -4.392
Calculated density in g cm⁻³: 2.86
E_form (uncorrected) in eV/atom: 1.14
Space group: Pm-3m (221)
Total magnetization in μB per atom: 0.55
Energy above the most stable polymorph in this dataset in meV/atom: 1095

Unit cell a=6.6331 b=6.6331 c=6.6331 alpha=90.00 beta=90.00 gamma=90.00
Site moments in Bohr magnetons follow the coordinates.
Atoms (fractional coordinates):
Cd 0.0000 0.0000 0.5000  0.02
Cd 0.0000 0.5000 0.0000  0.03
Cd 0.5000 0.0000 0.0000  0.05
Si 0.5000 0.5000 0.5000  0.54
Ba 0.0000 0.0000 0.0000  0.08

***

# 13
## CeNdDySc (PBE-GGA)

Data for a geometry-optimized CeNdDySc structure.

Computed properties:
Energy in eV per cell: -21.034
Calculated density in g cm⁻³: 6.68
Space group: F-43m (216)
Total magnetization in μB per atom: 0.15
DFT formation energy in eV per formula unit: 0.6

Unit cell a=5.5716 b=5.5716 c=5.5716 alpha=60.00 beta=60.00 gamma=60.00
Site moments in Bohr magnetons follow the coordinates.
Atoms (fractional coordinates):
Nd 0.5000 0.5000 0.5000  -0.01
Ce 0.0000 0.0000 0.0000  0.55
Sc 0.2500 0.2500 0.2500  -0.01
Dy 0.7500 0.7500 0.7500  0.01

***

# 14
## Cr2AgSeS (PBE-GGA)

Data for a geometry-optimized Cr2AgSeS structure.

Computed properties:
Energy in eV per cell: -26.393
Calculated density in g cm⁻³: 6.11
E_form (uncorrected) in eV/atom: 0.66
Space group: P4/mmm (123)
Total magnetization in μB per atom: 0.00

Unit cell a=4.2507 b=4.8559 c=4.2507 alpha=90.00 beta=90.00 gamma=90.00
Atoms (fractional coordinates):
Se 0.5000 0.5000 0.5000
Ag 0.0000 0.5000 0.0000
Cr 0.0000 0.0000 0.5000
Cr 0.5000 0.0000 0.0000
S 0.0000 0.0000 0.0000

***

# 15
## TeRh2Br (PBE-GGA)

Data for a geometry-optimized TeRh2Br structure.

Computed properties:
Energy in eV per cell: -37.617
Calculated density in g cm⁻³: 7.02
E_form (uncorrected) in eV/atom: 0.18
Space group: I-42d (122)
Total magnetization in μB per atom: 0.00
Energy above the most stable polymorph in this dataset in meV/atom: 284

Unit cell a=6.2686 b=6.2686 c=6.6647 alpha=61.95 beta=61.95 gamma=90.00
Atoms (fractional coordinates):
Br 0.2500 0.7500 0.5000
Br 0.5000 0.5000 0.0000
Rh 0.1194 0.6250 0.2500
Rh 0.6306 0.1250 0.2500
Rh 0.3750 0.3694 0.7500
Rh 0.8750 0.8806 0.7500
Te 0.0000 0.0000 0.0000
Te 0.7500 0.2500 0.5000

***

# 16
## Rb2CaScF6 (PBE-GGA)

Data for a geometry-optimized Rb2CaScF6 structure.

Computed properties:
Energy in eV per cell: -54.194
Calculated density in g cm⁻³: 3.47
E_form (uncorrected) in eV/atom: -3.27
Space group: I4/mmm (139)
Total magnetization in μB per atom: 0.07

Unit cell a=6.3385 b=6.3385 c=6.2820 alpha=59.70 beta=59.70 gamma=90.00
Site moments in Bohr magnetons follow the coordinates.
Atoms (fractional coordinates):
F 0.2452 0.2452 0.0000  0.00
F 0.7548 0.7548 0.0000  0.00
F 0.7615 0.7615 0.4770  0.00
F 0.2385 0.2385 0.5230  0.00
F 0.7548 0.2452 0.0000  0.00
F 0.2452 0.7548 0.0000  0.00
Rb 0.2500 0.7500 0.5000  0.00
Rb 0.7500 0.2500 0.5000  0.00
Ca 0.5000 0.5000 0.0000  0.01
Sc 0.0000 0.0000 0.0000  0.58

***

# 17
## Pm2Y3Te8 (PBE-GGA)

Data for a geometry-optimized Pm2Y3Te8 structure.

Computed properties:
Energy in eV per cell: -70.832
Calculated density in g cm⁻³: 5.38
E_form (uncorrected) in eV/atom: -1.29
Space group: C2/m (12)
Total magnetization in μB per atom: 0.00

Unit cell a=7.5672 b=8.7752 c=8.8964 alpha=119.55 beta=106.10 gamma=90.00
Atoms (fractional coordinates):
Pm 0.3310 0.2511 0.5023
Pm 0.6690 0.7489 0.4977
Te 0.4115 0.3668 0.2383
Te 0.5885 0.6332 0.7617
Te 0.0863 0.8810 0.7621
Te 0.4115 0.8714 0.2383
Te 0.9077 0.6181 0.2362
Te 0.0923 0.3819 0.7638
Te 0.9137 0.1190 0.2379
Te 0.5885 0.1286 0.7617
Y 0.0000 0.2572 0.0000
Y 0.5000 0.0000 0.0000
Y 0.0000 0.7428 0.0000

***

# 18
## Ta7Mo (PBE-GGA)

Data for a geometry-optimized Ta7Mo structure.

Computed properties:
Energy in eV per cell: -91.684
Calculated density in g cm⁻³: 15.38
Space group: Fm-3m (225)
Total magnetization in μB per atom: 0.00
Energy above the most stable polymorph in this dataset in meV/atom: 319
DFT formation energy in eV per formula unit: 2.1

Unit cell a=5.9257 b=5.9257 c=5.9257 alpha=60.00 beta=60.00 gamma=60.00
Atoms (fractional coordinates):
Ta 0.5000 0.5000 0.5000
Ta 0.0000 0.5000 0.0000
Ta 0.5000 0.0000 0.0000
Ta 0.0000 0.0000 0.5000
Ta 0.0000 0.5000 0.5000
Ta 0.5000 0.5000 0.0000
Ta 0.5000 0.0000 0.5000
Mo 0.0000 0.0000 0.0000

***

# 19
## Y2HW (PBE-GGA)

Data for a geometry-optimized Y2HW structure.

Computed properties:
Energy in eV per cell: -26.010
Calculated density in g cm⁻³: 7.42
Space group: Fm-3m (225)
Total magnetization in μB per atom: 0.00
Energy above the most stable polymorph in this dataset in meV/atom: 325

Unit cell a=4.8597 b=4.8597 c=4.8597 alpha=60.00 beta=60.00 gamma=60.00
Atoms (fractional coordinates):
H 0.0000 0.0000 0.0000
W 0.5000 0.5000 0.5000
Y 0.7500 0.7500 0.7500
Y 0.2500 0.2500 0.2500

***

# 20
## Ho3Er3Co4 (PBE-GGA)

Data for a geometry-optimized Ho3Er3Co4 structure.

Computed properties:
Energy in eV per cell: -57.622
Calculated density in g cm⁻³: 9.71
Space group: Amm2 (38)
Total magnetization in μB per atom: 0.00
DFT formation energy in eV per formula unit: -1.8

Unit cell a=4.1395 b=7.1348 c=7.1348 alpha=90.04 beta=90.00 gamma=90.00
Atoms (fractional coordinates):
Er 0.5000 0.8269 0.1731
Er 0.5000 0.6726 0.6724
Er 0.5000 0.3276 0.3274
Co 0.0000 0.6132 0.3868
Co 0.0000 0.3894 0.6106
Co 0.0000 0.1111 0.1132
Co 0.0000 0.8868 0.8889
Ho 0.5000 0.1723 0.8277
Ho 0.0000 0.0001 0.4999
Ho 0.0000 0.5001 0.9999

***

# 21
## TiCuPd4 (PBE-GGA)

Data for a geometry-optimized TiCuPd4 structure.

Computed properties:
Energy in eV per cell: -33.571
Calculated density in g cm⁻³: 8.75
Space group: R-3m (166)
Total magnetization in μB per atom: 0.00
Energy above the most stable polymorph in this dataset in meV/atom: 290
DFT formation energy in eV per formula unit: -0.8

Unit cell a=4.1762 b=4.1793 c=7.1595 alpha=72.98 beta=73.04 gamma=60.02
Atoms (fractional coordinates):
Pd 0.1242 0.1237 0.6279
Pd 0.3757 0.3762 0.8725
Pd 0.8758 0.8763 0.3721
Pd 0.6243 0.6238 0.1275
Ti 0.5000 0.5000 0.5000
Cu 0.0000 0.0000 0.0000

***

# 22
## Cs6Br5 (PBE-GGA)

Data for a geometry-optimized Cs6Br5 structure.

Computed properties:
Energy in eV per cell: -31.070
Calculated density in g cm⁻³: 3.25
E_form (uncorrected) in eV/atom: -1.60
Space group: C2/m (12)
Total magnetization in μB per atom: 0.07

Unit cell a=9.0800 b=9.0769 c=9.0762 alpha=120.00 beta=99.59 gamma=70.55
Atoms (fractional coordinates):
Br 0.5000 0.5000 0.0000
Br 0.0000 0.3331 0.6662
Br 0.5000 0.8344 0.6689
Br 0.5000 0.1656 0.3311
Br 0.0000 0.6669 0.3338
Cs 0.2525 0.2537 0.0000
Cs 0.2523 0.9159 0.3379
Cs 0.7477 0.4220 0.3379
Cs 0.7475 0.7463 0.0000
Cs 0.2523 0.5780 0.6621
Cs 0.7477 0.0841 0.6621

***

# 23
## MgSi2Ag (PBE-GGA)

Data for a geometry-optimized MgSi2Ag structure.

Computed properties:
Energy in eV per cell: -14.648
Calculated density in g cm⁻³: 4.60
E_form (uncorrected) in eV/atom: 0.16
Space group: Pm (6)
Total magnetization in μB per atom: 0.00

Unit cell a=4.5841 b=2.8085 c=5.2866 alpha=89.93 beta=90.00 gamma=90.00
Atoms (fractional coordinates):
Mg 0.5000 0.7502 0.7476
Si 0.0000 0.2500 0.0076
Si 0.5000 0.2489 0.2294
Ag 0.0000 0.2509 0.5155

***

# 24
## ZnMo3 (PBE-GGA)

Data for a geometry-optimized ZnMo3 structure.

Computed properties:
Energy in eV per cell: -66.354
Calculated density in g cm⁻³: 9.46
Space group: P6_3/mmc (194)
Total magnetization in μB per atom: 0.00
Energy above the most stable polymorph in this dataset in meV/atom: 116
DFT formation energy in eV per formula unit: 0.6

Unit cell a=5.5878 b=5.5878 c=4.5877 alpha=90.00 beta=90.00 gamma=120.00
Atoms (fractional coordinates):
Mo 0.8404 0.6808 0.2500
Mo 0.1596 0.8404 0.7500
Mo 0.6808 0.8404 0.7500
Mo 0.8404 0.1596 0.2500
Mo 0.3192 0.1596 0.2500
Mo 0.1596 0.3192 0.7500
Zn 0.6667 0.3333 0.7500
Zn 0.3333 0.6667 0.2500